(1)
A plane-wave DFT calculation with PBE was carried out for an optimized crystal structure of NaLi2F3.

a = 6.771 Å, b = 6.771 Å, c = 6.771 Å
α = 153.63°, β = 153.63°, γ = 37.64°
Fractional coordinates of all 6 atoms:
Na  0.000  0.000  0.000
Li  0.673  0.673  0.000
Li  0.327  0.327  0.000
F  0.500  0.500  0.000
F  0.825  0.825  0.000
F  0.175  0.175  0.000

The energy relative to the lowest polymorph listed for this composition comes out at 0 meV/atom. The uncorrected formation energy is -2.820 eV/atom.

(2)
A plane-wave DFT calculation with PBE was carried out for an optimized crystal structure of HoCdPdRu.

a = 4.714 Å, b = 4.714 Å, c = 4.714 Å
α = 60.00°, β = 60.00°, γ = 60.00°
Fractional coordinates of all 4 atoms:
Ru  0.750  0.750  0.750
Ho  0.000  0.000  0.000
Pd  0.250  0.250  0.250
Cd  0.500  0.500  0.500

(3)
A plane-wave DFT calculation with PBE was carried out for an optimized crystal structure of Ta2AuCl.

a = 4.652 Å, b = 2.900 Å, c = 5.590 Å
α = 74.70°, β = 90.00°, γ = 90.00°
Fractional coordinates of all 4 atoms:
Au  0.000  0.576  0.477
Cl  0.500  0.894  0.843
Ta  0.000  0.832  0.952
Ta  0.500  0.199  0.228

The energy relative to the lowest polymorph listed for this composition comes out at 317 meV/atom. The uncorrected formation energy is 0.170 eV/atom.

(4)
A plane-wave DFT calculation with PBE was carried out for an optimized crystal structure of Tm2IrSe.

a = 3.936 Å, b = 3.936 Å, c = 7.330 Å
α = 74.42°, β = 74.42°, γ = 60.00°
Fractional coordinates of all 4 atoms:
Ir  0.000  0.000  0.000
Tm  0.258  0.258  0.226
Tm  0.742  0.742  0.774
Se  0.500  0.500  0.500

The energy relative to the lowest polymorph listed for this composition comes out at 0 meV/atom. The uncorrected formation energy is -1.226 eV/atom.

In the order shown, the computed total energy values come out to -4.613 -5.329 -7.038 -6.548 eV per atom.
In the order shown, the computed total magnetization values come out to 0.00 0.00 0.00 0.00 Bohr magnetons per cell.